Density functional theory data (GGA-PBE) for an optimized crystal structure of La3Ce2SmP6.

* ΔE_f: -1551.1 meV/atom

a = 7.2372 Å, b = 7.2372 Å, c = 7.2568 Å
α = 99.57°, β = 99.57°, γ = 120.00°
Last column: magnetic moment on the atom in μB.
Element x y z (fractional)
La1 0.1661 0.8339 0.5000  0.01
La2 0.8339 0.1661 0.5000  0.01
La3 0.5000 0.5000 0.5000  0.01
Ce1 0.3332 0.6668 0.0000  0.43
Ce2 0.6668 0.3332 0.0000  0.43
Sm1 0.0000 0.0000 0.0000  0.01
P1 0.9206 0.5840 0.7618  -0.01
P2 0.7428 0.7428 0.2384  -0.01
P3 0.0794 0.4160 0.2382  -0.01
P4 0.5840 0.9206 0.7618  -0.01
P5 0.2572 0.2572 0.7616  -0.01
P6 0.4160 0.0794 0.2382  -0.01

---

Density functional theory data (GGA-PBE) for an optimized crystal structure of AgSb2TeCl.

* excess energy over the best structure of this formula in the dataset: 0.0 meV/atom
* raw formation energy: 538 meV/atom

a = 5.4534 Å, b = 5.4534 Å, c = 5.3422 Å
α = 90.00°, β = 90.00°, γ = 90.00°
Element x y z (fractional)
Sb1 0.0000 0.5000 0.0000
Sb2 0.5000 0.0000 0.0000
Te1 0.0000 0.0000 0.5000
Ag1 0.0000 0.0000 0.0000
Cl1 0.5000 0.5000 0.5000